No. 1
Density functional theory data (PBE) for a relaxed structure of AcNF.

Cell lengths 4.1233, 4.1233, 7.1952 Å; angles 96.26, 96.26, 62.61 degrees
Closest atoms and distances in Å follow each position.
Fractional positions:
1 Ac 0.2028 0.2028 0.2745  4 N 2.58-2.62, 4 F 2.67-2.76
2 Ac 0.7972 0.7972 0.7255  4 N 2.58-2.62, 4 F 2.67-2.76
3 N 0.4360 0.4360 0.5814  1 N 1.57
4 N 0.5640 0.5640 0.4186  1 N 1.57
5 F 0.1593 0.1593 0.8876  4 Ac 2.67-2.76, 3 F 2.88-2.93
6 F 0.8407 0.8407 0.1124  4 Ac 2.67-2.76, 3 F 2.88-2.93

Output
ΔE_f (raw) ... -52.9 kcal/mol of atoms
Space group ... No. 12
Total magnetic moment ... 0.00 μB/f.u.
Distance to the lowest polymorph of the same formula ... 21 kJ/mol of formula units

=====

No. 2
Density functional theory data (PBE) for a relaxed structure of Pr2InNi4Sn3.

Cell lengths 4.4469, 4.4469, 10.3129 Å; angles 90.00, 90.00, 90.00 degrees
Closest atoms and distances in Å follow each position.
Fractional positions:
1 Pr 0.0000 0.5000 0.2393  8 Ni 3.32-3.41, 6 Sn 3.36-3.49, 2 In 3.49
2 Pr 0.5000 0.0000 0.7607  8 Ni 3.32-3.41, 6 Sn 3.36-3.49, 2 In 3.49
3 In 0.0000 0.0000 0.5000  4 Ni 2.61
4 Ni 0.0000 0.0000 0.0000  4 Sn 2.57
5 Ni 0.0000 0.5000 0.6326  3 Sn 2.51-2.61, 2 In 2.61
6 Ni 0.5000 0.0000 0.3674  3 Sn 2.51-2.61, 2 In 2.61
7 Ni 0.5000 0.5000 0.0000  4 Sn 2.57
8 Sn 0.0000 0.5000 0.8758  5 Ni 2.51-2.57
9 Sn 0.5000 0.0000 0.1242  5 Ni 2.51-2.57
10 Sn 0.5000 0.5000 0.5000  4 Ni 2.61

Output
ΔH_f (0 K) ... -0.50 eV/atom
Space group ... No. 115
Total magnetic moment ... 0.00 μB/f.u.

=====

No. 3
Density functional theory data (PBE) for a relaxed structure of CsSr2LiSb.

Cell lengths 6.3768, 6.3768, 7.4591 Å; angles 90.00, 90.00, 90.00 degrees
Closest atoms and distances in Å follow each position.
Fractional positions:
1 Cs 0.0000 0.0000 0.0000  2 Sb 3.73
2 Sr 0.0000 0.5000 0.5000  2 Sb 3.19
3 Sr 0.5000 0.0000 0.5000  2 Sb 3.19
4 Li 0.5000 0.5000 0.0000  4 Cs 4.51, 8 Sr 4.91
5 Sb 0.0000 0.0000 0.5000  4 Sr 3.19

Output
ΔE_f (raw) ... -4.4 kcal/mol of atoms
Space group ... No. 123
Total magnetic moment ... 0.00 μB/f.u.

=====

No. 4
Density functional theory data (PBE) for a relaxed structure of BaPaSi2S8.

Cell lengths 6.2199, 6.2199, 9.0673 Å; angles 90.00, 90.00, 120.00 degrees
Closest atoms and distances in Å follow each position.
Fractional positions:
1 Ba 0.0000 0.0000 0.0000  12 S 3.56-3.59
2 Pa 0.0000 0.0000 0.5000  6 S 2.65
3 Si 0.3333 0.6667 0.7499  4 S 2.11-2.14
4 Si 0.6667 0.3333 0.2501  4 S 2.11-2.14
5 S 0.0044 0.3367 0.6817  1 Si 2.14
6 S 0.3323 0.9956 0.6817  1 Si 2.14
7 S 0.3333 0.6667 0.9822  1 Si 2.11
8 S 0.3367 0.3323 0.3183  1 Si 2.14
9 S 0.6633 0.6677 0.6817  1 Si 2.14
10 S 0.6667 0.3333 0.0178  1 Si 2.11
11 S 0.6677 0.0044 0.3183  1 Si 2.14
12 S 0.9956 0.6633 0.3183  1 Si 2.14

Output
ΔE_f (raw) ... -23.5 kcal/mol of atoms
Space group ... No. 147
Total magnetic moment ... 0.99 μB/f.u.

=====

Look up the total magnetic moment of the first one. 0.00 μB/f.u.

=====

Which formula does entry 2 have? Pr2InNi4Sn3